# 1
Computed, not measured: a relaxed Pm4GaAgAu2 crystal at the PBE-GGA level of DFT.

total magnetic moment	0.00	μB/f.u.
calculated formation energy	-0.59	eV per atom

Lattice parameters (Å, degrees): 5.2300 5.2300 25.6727 90.00 90.00 120.00
Space group R-3m (No. 166, hexagonal axes)
Symmetry-distinct sites (fractional):
1 Pm 0.0000 0.0000 0.1239 [6 per cell]
2 Pm 0.0000 0.0000 0.3746 [6 per cell]
3 Ga 0.0000 0.0000 0.0000 [3 per cell]
4 Ag 0.0000 0.0000 0.5000 [3 per cell]
5 Au 0.0000 0.0000 0.2504 [6 per cell]

=====

# 2
Computed, not measured: a relaxed Cu2OsPb crystal at the PBE-GGA level of DFT.

total magnetic moment	0.00	μB/f.u.
calculated formation energy	0.65	eV per atom

Lattice parameters (Å, degrees): 9.2754 3.1038 4.6661 90.00 103.37 90.00
Space group C2/m (No. 12)
Symmetry-distinct sites (fractional):
1 Cu 0.2381 0.0000 0.2046 [4 per cell]
2 Os 0.0000 0.5000 0.0000 [2 per cell]
3 Pb 0.0000 0.0000 0.5000 [2 per cell]

=====

# 3
Computed, not measured: a relaxed Pr2PuHg4 crystal at the PBE-GGA level of DFT.

total magnetic moment	6.34	μB/f.u.
calculated formation energy	-0.23	eV per atom

Lattice parameters (Å, degrees): 5.3619 5.3619 7.3268 90.00 90.00 90.00
Space group P4/mmm (No. 123)
Symmetry-distinct sites (fractional):
1 Pr 0.0000 0.0000 0.0000 [1 per cell]
2 Pr 0.5000 0.5000 0.5000 [1 per cell]
3 Pu 0.0000 0.0000 0.5000 [1 per cell]
4 Hg 0.0000 0.5000 0.2405 [4 per cell]